No. 1
Entry from Alexandria: a geometry-optimized BaFe2Cl structure (PBE).

abc: 6.4439 6.4439 4.9956
angles: 112.73 112.73 31.16
Closest atoms and distances in Å follow each position.
Fractional positions:
Ba (0.0000, 0.0000, 0.0000)  4 Cl 3.04, 2 Fe 3.23
Fe (0.2807, 0.2807, 0.1805)  2 Fe 2.39, 1 Cl 2.54
Fe (0.7193, 0.7193, 0.8195)  2 Fe 2.39, 1 Cl 2.54
Cl (0.5000, 0.5000, 0.5000)  2 Fe 2.54

Computed properties:
Space group: No. 12
Crystal system: monoclinic
Energy above the lowest structure with this stoichiometry in meV per atom: 112
E_form (uncorrected) in eV per atom: 0.087

No. 2
Entry from Alexandria: a geometry-optimized AsPt2C2 structure (PBE).

abc: 7.0771 7.0771 3.3032
angles: 90.00 90.00 90.00
Closest atoms and distances in Å follow each position.
Fractional positions:
As (0.0000, 0.0000, 0.0000)  4 C 2.52
As (0.5000, 0.5000, 0.0000)  4 C 2.52
Pt (0.1283, 0.3717, 0.5000)  2 C 1.90
Pt (0.3717, 0.8717, 0.5000)  2 C 1.90
Pt (0.6283, 0.1283, 0.5000)  2 C 1.90
Pt (0.8717, 0.6283, 0.5000)  2 C 1.90
C (0.2230, 0.2770, 0.0000)  2 Pt 1.90
C (0.2770, 0.7770, 0.0000)  2 Pt 1.90
C (0.7230, 0.2230, 0.0000)  2 Pt 1.90
C (0.7770, 0.7230, 0.0000)  2 Pt 1.90

Computed properties:
Formation energy from the elements in eV per atom: 1.46
Space group: No. 127
Crystal system: tetragonal
Energy above the lowest structure with this stoichiometry in meV per atom: 496

No. 3
Entry from Alexandria: a geometry-optimized Pm4Sc3 structure (PBE).

abc: 8.5039 8.5039 8.5319
angles: 117.22 117.22 22.91
Closest atoms and distances in Å follow each position.
Fractional positions:
Pm (0.0848, 0.0848, 0.2165)  4 Sc 3.24-3.38, 5 Pm 3.38-3.62
Pm (0.3611, 0.3611, 0.0974)  8 Pm 3.38-3.77, 5 Sc 3.50-3.55
Pm (0.6389, 0.6389, 0.9026)  8 Pm 3.38-3.77, 5 Sc 3.50-3.55
Pm (0.9152, 0.9152, 0.7835)  4 Sc 3.24-3.38, 5 Pm 3.38-3.62
Sc (0.0000, 0.0000, 0.5000)  4 Sc 3.24-3.38, 6 Pm 3.32-3.55
Sc (0.2174, 0.2174, 0.6400)  6 Pm 3.24-3.51, 5 Sc 3.24-3.49
Sc (0.7826, 0.7826, 0.3600)  6 Pm 3.24-3.51, 5 Sc 3.24-3.49

Computed properties:
Formation energy from the elements in eV per atom: 0.16
Space group: No. 12
Crystal system: monoclinic

No. 4
Entry from Alexandria: a geometry-optimized YCr2Pt structure (PBE).

abc: 3.3018 3.3018 6.9232
angles: 90.00 90.00 90.00
Closest atoms and distances in Å follow each position.
Fractional positions:
Y (0.0000, 0.0000, 0.0000)  8 Cr 3.14, 4 Y 3.30, 2 Pt 3.46
Cr (0.5000, 0.5000, 0.3032)  4 Pt 2.70, 1 Cr 2.73
Cr (0.5000, 0.5000, 0.6968)  4 Pt 2.70, 1 Cr 2.73
Pt (0.0000, 0.0000, 0.5000)  8 Cr 2.70

Computed properties:
Formation energy from the elements in eV per atom: 0.20
Space group: No. 123
Crystal system: tetragonal
Energy above the lowest structure with this stoichiometry in meV per atom: 308

No. 5
Entry from Alexandria: a geometry-optimized BiSb2H structure (PBE).

abc: 7.0278 7.0278 7.0278
angles: 128.08 128.08 76.49
Closest atoms and distances in Å follow each position.
Fractional positions:
Bi (0.0000, 0.0000, 0.0000)  4 Sb 3.10
Bi (0.7500, 0.2500, 0.5000)  4 Sb 3.10
Sb (0.2510, 0.6250, 0.1260)  2 H 2.20
Sb (0.3750, 0.5010, 0.6260)  2 H 2.20
Sb (0.4990, 0.1250, 0.8740)  2 H 2.20
Sb (0.8750, 0.7490, 0.3740)  2 H 2.20
H (0.2500, 0.7500, 0.5000)  4 Sb 2.20
H (0.5000, 0.5000, 0.0000)  4 Sb 2.20

Computed properties:
Space group: No. 122
Crystal system: tetragonal
Energy above the lowest structure with this stoichiometry in meV per atom: 0

No. 6
Entry from Alexandria: a geometry-optimized TaMnGaCu structure (PBE).

abc: 4.2855 4.2855 4.2855
angles: 60.00 60.00 60.00
Closest atoms and distances in Å follow each position.
Fractional positions:
Ta (0.0000, 0.0000, 0.0000)  4 Mn 2.62, 4 Cu 2.62
Mn (0.7500, 0.7500, 0.7500)  4 Ta 2.62, 4 Ga 2.62
Ga (0.5000, 0.5000, 0.5000)  4 Mn 2.62, 4 Cu 2.62
Cu (0.2500, 0.2500, 0.2500)  4 Ta 2.62, 4 Ga 2.62

Computed properties:
Formation energy from the elements in eV per atom: 0.04
Space group: No. 216
Crystal system: cubic

No. 7
Entry from Alexandria: a geometry-optimized GePPtO2 structure (PBE).

abc: 3.9069 3.9069 4.9863
angles: 90.00 90.00 90.00
Closest atoms and distances in Å follow each position.
Fractional positions:
Ge (0.0000, 0.0000, 0.0000)  4 P 2.76
P (0.5000, 0.5000, 0.0000)  2 Pt 2.49, 4 Ge 2.76
Pt (0.5000, 0.5000, 0.5000)  4 O 1.95
O (0.0000, 0.5000, 0.5000)  2 Pt 1.95
O (0.5000, 0.0000, 0.5000)  2 Pt 1.95

Computed properties:
Space group: No. 123
Crystal system: tetragonal
Energy above the lowest structure with this stoichiometry in meV per atom: 446
E_form (uncorrected) in eV per atom: 0.176

No. 8
Entry from Alexandria: a geometry-optimized SmTm2Rh9 structure (PBE).

abc: 9.2450 9.2450 9.2450
angles: 33.05 33.05 33.05
Closest atoms and distances in Å follow each position.
Fractional positions:
Sm (0.0000, 0.0000, 0.0000)  6 Rh 3.04
Tm (0.1395, 0.1395, 0.1395)  12 Rh 3.01-3.26, 3 Tm 3.35
Tm (0.8605, 0.8605, 0.8605)  12 Rh 3.01-3.26, 3 Tm 3.35
Rh (0.0825, 0.5840, 0.5840)  7 Rh 2.62-2.67
Rh (0.3331, 0.3331, 0.3331)  6 Rh 2.66-2.67
Rh (0.4160, 0.4160, 0.9175)  7 Rh 2.62-2.67
Rh (0.4160, 0.9175, 0.4160)  7 Rh 2.62-2.67
Rh (0.5000, 0.5000, 0.5000)  6 Rh 2.66
Rh (0.5840, 0.0825, 0.5840)  7 Rh 2.62-2.67
Rh (0.5840, 0.5840, 0.0825)  7 Rh 2.62-2.67
Rh (0.6669, 0.6669, 0.6669)  6 Rh 2.66-2.67
Rh (0.9175, 0.4160, 0.4160)  7 Rh 2.62-2.67

Computed properties:
Formation energy from the elements in eV per atom: -0.58
Space group: No. 166
Crystal system: trigonal